Computed, not measured: SrCa2As after structural relaxation at the PBE level of DFT.

Lattice parameters (Å, degrees): 11.7600 4.0091 7.1692 90.00 115.98 90.00
Closest atoms and distances in Å follow each position.
Space group Cm (No. 8)
Inequivalent atoms, fractional coordinates:
Sr: 0.0000 0.0000 0.0000 [2 per cell]  3 As 3.27-3.29, 1 Ca 3.64
Ca: 0.1718 0.0000 0.6831 [2 per cell]  2 As 2.93
Ca: 0.3478 0.0000 0.3367 [2 per cell]  2 As 2.95
As: 0.2241 0.5000 0.0082 [2 per cell]  4 Ca 2.93-2.95, 1 Sr 3.27

V   152 Å³/f.u.
Formation energy   -0.588 eV/atom



Computed, not measured: SrCaAs after structural relaxation at the PBE level of DFT.

Lattice parameters (Å, degrees): 7.2648 7.2648 7.2648 90.00 90.00 90.00
Closest atoms and distances in Å follow each position.
Space group F-43m (No. 216)
Inequivalent atoms, fractional coordinates:
Sr: 0.0000 0.0000 0.0000 [4 per cell]  4 As 3.15
Ca: 0.0000 0.0000 0.5000 [4 per cell]  4 As 3.15
As: 0.2500 0.2500 0.7500 [4 per cell]  4 Ca 3.15, 4 Sr 3.15

V   96 Å³/f.u.
Formation energy   -0.882 eV/atom
Distance to the lowest polymorph of the same formula   0 meV per atom



Computed, not measured: SrCa2As after structural relaxation at the PBE level of DFT.

Lattice parameters (Å, degrees): 4.8940 4.8940 5.1994 90.00 90.00 90.00
Closest atoms and distances in Å follow each position.
Space group P4/mmm (No. 123)
Inequivalent atoms, fractional coordinates:
Sr: 0.0000 0.0000 0.0000 [1 per cell]  4 As 3.46, 8 Ca 3.57
Ca: 0.0000 0.5000 0.5000 [2 per cell]  4 Ca 3.46, 4 As 3.57, 4 Sr 3.57
As: 0.5000 0.5000 0.0000 [1 per cell]  4 Sr 3.46, 8 Ca 3.57

V   125 Å³/f.u.
Formation energy   -0.405 eV/atom